Density functional theory data (GGA-PBE) for a relaxed BaSmAgAu crystal.

Computed properties:
ΔH_f (0 K)   -0.35 eV per atom
Symmetry   F-43m

Lattice parameters (Å, degrees): 5.472 5.472 5.472 60.00 60.00 60.00
Element x y z (fractional)
Ba 0.000 0.000 0.000
Sm 0.500 0.500 0.500
Ag 0.250 0.250 0.250
Au 0.750 0.750 0.750